(1)
Here is K2IrPt after structural relaxation from the Alexandria database. Energies are from PBE.

a b c (Å): 3.564 3.564 9.879
angles (deg): 90.00 90.00 90.00
Sites, in units of the cell vectors:
K  0.500  0.500  0.344
K  0.000  0.000  0.907
Pt  0.000  0.000  0.594
Ir  0.500  0.500  0.654

Computed properties:
Space group: No. 99
Distance to the lowest polymorph of the same formula in meV/atom: 52
VASP energy in eV per atom: -3.983
Volume in Å³ per cell: 125.45

(2)
Here is K4PtRh3O8 after structural relaxation from the Alexandria database. Energies are from PBE.

a b c (Å): 6.474 6.855 6.657
angles (deg): 118.60 119.10 90.00
Sites, in units of the cell vectors:
K  0.500  0.000  0.500
K  0.000  0.000  0.000
K  0.000  0.000  0.500
K  0.500  0.000  0.000
Rh  0.000  0.500  0.500
Rh  0.500  0.500  0.500
Rh  0.500  0.500  0.000
O  0.280  0.341  0.068
O  0.720  0.659  0.932
O  0.280  0.333  0.560
O  0.754  0.312  0.507
O  0.788  0.341  0.068
O  0.720  0.667  0.440
O  0.212  0.659  0.932
O  0.246  0.688  0.493
Pt  0.000  0.500  0.000

Computed properties:
Space group: No. 12
VASP energy in eV per atom: -5.465
ΔE_f (raw) in meV/atom: -955.8
Volume in Å³ per cell: 215.96

(3)
Here is PrFeN2 after structural relaxation from the Alexandria database. Energies are from PBE.

a b c (Å): 5.506 5.506 6.337
angles (deg): 90.00 90.00 120.00
Sites, in units of the cell vectors:
Fe  0.000  0.585  0.167
Fe  0.585  0.000  0.833
Fe  0.415  0.415  0.500
N  0.431  0.126  0.626
N  0.874  0.304  0.960
N  0.569  0.696  0.707
N  0.696  0.569  0.293
N  0.126  0.431  0.374
N  0.304  0.874  0.040
Pr  0.000  0.651  0.667
Pr  0.651  0.000  0.333
Pr  0.349  0.349  0.000

Computed properties:
Space group: No. 152
VASP energy in eV per atom: -8.173
ΔE_f (raw) in meV/atom: -700.2
Volume in Å³ per cell: 166.37

(4)
Here is CaLa2Tc after structural relaxation from the Alexandria database. Energies are from PBE.

a b c (Å): 4.156 4.156 9.625
angles (deg): 77.53 77.53 60.00
Sites, in units of the cell vectors:
La  0.279  0.279  0.162
La  0.054  0.054  0.839
Tc  0.665  0.665  0.006
Ca  0.502  0.502  0.493

Computed properties:
Space group: No. 160
Distance to the lowest polymorph of the same formula in meV/atom: 112
VASP energy in eV per atom: -5.374
Volume in Å³ per cell: 139.40

Question: Look up the VASP energy of the third one.
Answer: -8.173 eV per atom